Material: Cr3OsCl
Method: DFT, GGA-PBE
State: optimized geometry

abc: 4.796 4.796 4.796
angles: 90.00 90.00 90.00
Each line ends with the local moment (μB).
Fractional positions:
Cl: 0.500 0.500 0.500  0.11
Cr: 0.000 0.500 0.000  3.25
Cr: 0.500 0.000 0.000  3.64
Cr: 0.000 0.000 0.500  2.91
Os: 0.000 0.000 0.000  -0.77

## Properties
offset from the most stable computed form: 0.409 eV/f.u.
SG: Pm-3m
final energy: -36.220 eV for the cell shown
magnetic moment: 10.19 μB per formula unit
formation energy without anion corrections: 1145 meV/atom

=====

Material: CrOs2Cl
Method: DFT, GGA-PBE
State: optimized geometry

abc: 2.840 3.620 7.002
angles: 90.00 90.00 90.00
Each line ends with the local moment (μB).
Fractional positions:
Os: 0.500 0.500 0.153  -0.12
Os: 0.000 0.000 0.001  -0.20
Cr: 0.500 0.500 0.776  3.07
Cl: 0.000 0.000 0.570  0.02

## Properties
offset from the most stable computed form: 0.601 eV/f.u.
SG: Pmm2
final energy: -31.383 eV for the cell shown
magnetic moment: 3.02 μB per formula unit
formation energy without anion corrections: 637 meV/atom

=====

Material: CrOsPb2Cl
Method: DFT, GGA-PBE
State: optimized geometry

abc: 5.375 4.371 5.375
angles: 90.00 90.00 90.00
Each line ends with the local moment (μB).
Fractional positions:
Cr: 0.000 0.000 0.000  2.66
Os: 0.500 0.500 0.500  2.26
Pb: 0.000 0.000 0.500  -0.11
Cl: 0.000 0.500 0.000  0.03
Pb: 0.500 0.000 0.000  -0.12

## Properties
SG: P4/mmm
final energy: -24.147 eV for the cell shown
magnetic moment: 4.95 μB per formula unit
formation energy without anion corrections: 1194 meV/atom

=====

Here are the calculated theoretical density numbers, same order: 5.75 10.79 9.10 (Mg/m³).